1.
Below is MgTeBr2 after structural relaxation, with properties calculated at the PBE level.

The offset from the most stable computed form comes out at 71.5 kJ per mole of atoms. The size of the total moment is 0.00 μB per formula unit. The value obtained for the density is 4.84 g cm⁻³. Its density of states at the Fermi level is 2.63 states/eV per cell.

It has space group P4/mmm (No. 123), with a = 4.832 Å, b = 4.832 Å, c = 4.584 Å, α = 90.00°, β = 90.00° and γ = 90.00°. Symmetry generates all atoms from Mg at (0.000, 0.000, 0.000), Te at (0.500, 0.500, 0.000) and Br at (0.000, 0.500, 0.500).

2.
Below is MgTeBr2 after structural relaxation, with properties calculated at the PBE level.

The offset from the most stable computed form comes out at 44.4 kJ per mole of atoms. The size of the total moment is 0.00 μB per formula unit. The value obtained for the density is 4.41 g cm⁻³. Its density of states at the Fermi level is 2.44 states/eV per cell.

It has space group C2/m (No. 12), with a = 6.734 Å, b = 9.163 Å, c = 5.036 Å, α = 90.00°, β = 131.00° and γ = 90.00°. Symmetry generates all atoms from Mg at (0.000, 0.000, 0.000), Te at (0.000, 0.500, 0.000) and Br at (0.250, 0.250, 0.500).

3.
Below is MgTeBr3 after structural relaxation, with properties calculated at the PBE level.

The offset from the most stable computed form comes out at 0.0 kJ per mole of atoms. The size of the total moment is 3.00 μB per formula unit. The value obtained for the density is 4.21 g cm⁻³. Its density of states at the Fermi level is 0.08 states/eV per cell.

It has space group Pm-3m (No. 221), with a = 5.367 Å, b = 5.367 Å, c = 5.367 Å, α = 90.00°, β = 90.00° and γ = 90.00°. Symmetry generates all atoms from Mg at (0.000, 0.000, 0.000), Te at (0.500, 0.500, 0.500) and Br at (0.000, 0.000, 0.500).

4.
Below is MgTeBr2 after structural relaxation, with properties calculated at the PBE level.

The offset from the most stable computed form comes out at 17.8 kJ per mole of atoms. The size of the total moment is 0.86 μB per formula unit. The value obtained for the density is 3.63 g cm⁻³. Its density of states at the Fermi level is 2.68 states/eV per cell.

It has space group P2/m (No. 10), with a = 6.119 Å, b = 3.524 Å, c = 6.864 Å, α = 90.00°, β = 105.79° and γ = 90.00°. Symmetry generates all atoms from Mg at (0.000, 0.000, 0.000), Te at (0.500, 0.000, 0.000) and Br at (0.163, 0.500, 0.279).

5.
Below is MgTeBr2 after structural relaxation, with properties calculated at the PBE level.

The offset from the most stable computed form comes out at 0.2 kJ per mole of atoms. The size of the total moment is 0.39 μB per formula unit. The value obtained for the density is 3.48 g cm⁻³. Its density of states at the Fermi level is 3.89 states/eV per cell.

It has space group R-3m (No. 166, hexagonal axes), with a = 3.6282 Å, b = 3.6282 Å, c = 39.1476 Å, α = 90.00°, β = 90.00° and γ = 120.00°. Symmetry generates all atoms from Mg at (0.0000, 0.0000, 0.0000), Te at (0.0000, 0.0000, 0.5000) and Br at (0.0000, 0.0000, 0.3741).

6.
Below is MgTeBr2 after structural relaxation, with properties calculated at the PBE level.

The offset from the most stable computed form comes out at 18.3 kJ per mole of atoms. The size of the total moment is 0.00 μB per formula unit. The value obtained for the density is 3.82 g cm⁻³. Its density of states at the Fermi level is 0.99 states/eV per cell.

It has space group P4/mmm (No. 123), with a = 3.322 Å, b = 3.322 Å, c = 12.266 Å, α = 90.00°, β = 90.00° and γ = 90.00°. Symmetry generates all atoms from Mg at (0.000, 0.000, 0.000), Te at (0.000, 0.000, 0.500) and Br at (0.500, 0.500, 0.134).

7.
Below is MgTeBr2 after structural relaxation, with properties calculated at the PBE level.

The offset from the most stable computed form comes out at 20.0 kJ per mole of atoms. The size of the total moment is 0.00 μB per formula unit. The value obtained for the density is 3.69 g cm⁻³. Its density of states at the Fermi level is 4.79 states/eV per cell.

It has space group C2/m (No. 12), with a = 13.541 Å, b = 3.444 Å, c = 6.300 Å, α = 90.00°, β = 107.45° and γ = 90.00°. Symmetry generates all atoms from Mg at (0.000, 0.000, 0.000), Te at (0.000, 0.500, 0.500) and Br at (0.143, 0.500, 0.172).

8.
Below is Mg2TeBr after structural relaxation, with properties calculated at the PBE level.

The offset from the most stable computed form comes out at 5.9 kJ per mole of atoms. The size of the total moment is 0.00 μB per formula unit. The value obtained for the density is 3.89 g cm⁻³. Its density of states at the Fermi level is 1.25 states/eV per cell.

It has space group P2/m (No. 10), with a = 3.946 Å, b = 3.838 Å, c = 7.215 Å, α = 90.00°, β = 90.09° and γ = 90.00°. Symmetry generates all atoms from Mg at (0.000, 0.000, 0.205), Te at (0.500, 0.500, 0.000) and Br at (0.000, 0.500, 0.500).

9.
Below is Mg2TeBr after structural relaxation, with properties calculated at the PBE level.

The offset from the most stable computed form comes out at 15.4 kJ per mole of atoms. The size of the total moment is 0.00 μB per formula unit. The value obtained for the density is 3.34 g cm⁻³. Its density of states at the Fermi level is 4.46 states/eV per cell.

It has space group R3m (No. 160, hexagonal axes), with a = 3.6662 Å, b = 3.6662 Å, c = 32.8484 Å, α = 90.00°, β = 90.00° and γ = 120.00°. Symmetry generates all atoms from Mg at (0.0000, 0.0000, 0.0000), Mg at (0.0000, 0.0000, 0.2563), Te at (0.0000, 0.0000, 0.7283) and Br at (0.0000, 0.0000, 0.5409).

10.
Below is MgTeBr2 after structural relaxation, with properties calculated at the PBE level.

The offset from the most stable computed form comes out at 75.2 kJ per mole of atoms. The size of the total moment is 0.00 μB per formula unit. The value obtained for the density is 4.84 g cm⁻³. Its density of states at the Fermi level is 8.23 states/eV per cell.

It has space group I4/mmm (No. 139), with a = 4.785 Å, b = 4.785 Å, c = 9.344 Å, α = 90.00°, β = 90.00° and γ = 90.00°. Symmetry generates all atoms from Mg at (0.000, 0.000, 0.000), Te at (0.000, 0.000, 0.500) and Br at (0.000, 0.500, 0.250).

11.
Below is Mg2TeBr after structural relaxation, with properties calculated at the PBE level.

The offset from the most stable computed form comes out at 0.0 kJ per mole of atoms. The size of the total moment is 0.00 μB per formula unit. The value obtained for the density is 3.92 g cm⁻³. Its density of states at the Fermi level is 1.68 states/eV per cell.

It has space group P4mm (No. 99), with a = 4.257 Å, b = 4.257 Å, c = 5.984 Å, α = 90.00°, β = 90.00° and γ = 90.00°. Symmetry generates all atoms from Mg at (0.000, 0.000, 0.000), Mg at (0.500, 0.500, 0.496), Te at (0.000, 0.000, 0.500) and Br at (0.500, 0.500, 0.999).

12.
Below is MgTeBr2 after structural relaxation, with properties calculated at the PBE level.

The offset from the most stable computed form comes out at 49.7 kJ per mole of atoms. The size of the total moment is 0.00 μB per formula unit. The value obtained for the density is 4.75 g cm⁻³. Its density of states at the Fermi level is 1.30 states/eV per cell.

It has space group Pmmm (No. 47), with a = 3.698 Å, b = 4.694 Å, c = 6.274 Å, α = 90.00°, β = 90.00° and γ = 90.00°. Symmetry generates all atoms from Mg at (0.000, 0.000, 0.000), Te at (0.500, 0.000, 0.500), Br at (0.000, 0.500, 0.500) and Br at (0.500, 0.500, 0.000).

13.
Below is Mg2Te2Br after structural relaxation, with properties calculated at the PBE level.

The offset from the most stable computed form comes out at 8.0 kJ per mole of atoms. The size of the total moment is 0.00 μB per formula unit. The value obtained for the density is 4.93 g cm⁻³. Its density of states at the Fermi level is 2.77 states/eV per cell.

It has space group P4/mbm (No. 127), with a = 8.568 Å, b = 8.568 Å, c = 3.519 Å, α = 90.00°, β = 90.00° and γ = 90.00°. Symmetry generates all atoms from Mg at (0.157, 0.343, 0.000), Te at (0.143, 0.643, 0.500) and Br at (0.000, 0.000, 0.000).

14.
Below is Mg2TeBr after structural relaxation, with properties calculated at the PBE level.

The offset from the most stable computed form comes out at 11.6 kJ per mole of atoms. The size of the total moment is 0.00 μB per formula unit. The value obtained for the density is 3.82 g cm⁻³. Its density of states at the Fermi level is 3.24 states/eV per cell.

It has space group Imm2 (No. 44), with a = 3.947 Å, b = 3.990 Å, c = 14.131 Å, α = 90.00°, β = 90.00° and γ = 90.00°. Symmetry generates all atoms from Mg at (0.000, 0.000, 0.000), Mg at (0.000, 0.500, 0.220), Te at (0.000, 0.500, 0.661) and Br at (0.000, 0.000, 0.415).

15.
Below is Mg2TeBr after structural relaxation, with properties calculated at the PBE level.

The offset from the most stable computed form comes out at 1.7 kJ per mole of atoms. The size of the total moment is 0.00 μB per formula unit. The value obtained for the density is 3.89 g cm⁻³. Its density of states at the Fermi level is 3.98 states/eV per cell.

It has space group C2/m (No. 12), with a = 7.431 Å, b = 4.320 Å, c = 7.246 Å, α = 90.00°, β = 109.95° and γ = 90.00°. Symmetry generates all atoms from Mg at (0.244, 0.000, 0.236), Te at (0.000, 0.500, 0.000) and Br at (0.000, 0.000, 0.500).

16.
Below is MgTeBr2 after structural relaxation, with properties calculated at the PBE level.

The offset from the most stable computed form comes out at 33.4 kJ per mole of atoms. The size of the total moment is 2.00 μB per formula unit. The value obtained for the density is 3.90 g cm⁻³. Its density of states at the Fermi level is 3.30 states/eV per cell.

It has space group I-42d (No. 122), with a = 9.205 Å, b = 9.205 Å, c = 6.268 Å, α = 90.00°, β = 90.00° and γ = 90.00°. Symmetry generates all atoms from Mg at (0.000, 0.000, 0.000), Te at (0.000, 0.000, 0.500) and Br at (0.120, 0.250, 0.125).

17.
Below is Mg4TeBr after structural relaxation, with properties calculated at the PBE level.

As for the total energy: -2.00 eV/atom. The size of the total moment is 0.00 μB per formula unit. The value obtained for the density is 3.32 g cm⁻³. Its density of states at the Fermi level is 17.30 states/eV per cell.

It has space group F-43m (No. 216), with a = 8.479 Å, b = 8.479 Å, c = 8.479 Å, α = 90.00°, β = 90.00° and γ = 90.00°. Symmetry generates all atoms from Mg at (0.124, 0.124, 0.124), Te at (0.250, 0.250, 0.750) and Br at (0.000, 0.000, 0.500).

18.
Below is MgTeBr after structural relaxation, with properties calculated at the PBE level.

The offset from the most stable computed form comes out at 22.2 kJ per mole of atoms. The size of the total moment is 0.00 μB per formula unit. The value obtained for the density is 4.11 g cm⁻³. Its density of states at the Fermi level is 0.76 states/eV per cell.

It has space group I4mm (No. 107), with a = 3.418 Å, b = 3.418 Å, c = 16.036 Å, α = 90.00°, β = 90.00° and γ = 90.00°. Symmetry generates all atoms from Mg at (0.000, 0.000, 0.000), Te at (0.000, 0.000, 0.629) and Br at (0.000, 0.000, 0.402).

19.
Below is MgTeBr2 after structural relaxation, with properties calculated at the PBE level.

The offset from the most stable computed form comes out at 54.4 kJ per mole of atoms. The size of the total moment is 0.00 μB per formula unit. The value obtained for the density is 4.52 g cm⁻³. Its density of states at the Fermi level is 3.16 states/eV per cell.

It has space group I-4m2 (No. 119), with a = 4.195 Å, b = 4.195 Å, c = 13.007 Å, α = 90.00°, β = 90.00° and γ = 90.00°. Symmetry generates all atoms from Mg at (0.000, 0.000, 0.000), Te at (0.000, 0.500, 0.750), Br at (0.000, 0.000, 0.500) and Br at (0.000, 0.500, 0.250).

20.
Below is MgTeBr2 after structural relaxation, with properties calculated at the PBE level.

The offset from the most stable computed form comes out at 21.9 kJ per mole of atoms. The size of the total moment is 0.00 μB per formula unit. The value obtained for the density is 3.45 g cm⁻³. Its density of states at the Fermi level is 5.96 states/eV per cell.

It has space group Immm (No. 71), with a = 3.390 Å, b = 6.612 Å, c = 13.394 Å, α = 90.00°, β = 90.00° and γ = 90.00°. Symmetry generates all atoms from Mg at (0.000, 0.000, 0.000), Te at (0.000, 0.000, 0.500) and Br at (0.000, 0.500, 0.359).